Below is an optimized crystal structure of ZnCu2IO6, with properties calculated at the GGA-PBE level.

Cell lengths 9.896, 9.135, 5.389 Å; angles 90.00, 97.88, 90.00 degrees
Space group C2/c (No. 15)
Symmetry-distinct sites (fractional):
Zn  0.000  0.088  0.250 x4
Cu  0.188  0.406  0.306 x8
I  0.000  0.264  0.750 x4
O  0.105  0.249  0.081 x8
O  0.110  0.098  0.628 x8
O  0.123  0.408  0.638 x8

Computed properties:
spin magnetization	4.4	μB/cell
E_form (uncorrected)	-0.54	eV/atom